A relaxed structure of Rb2SrPuCl8. Source: Alexandria, functional PBE-GGA.

Results
- DFT total energy: -56.22 eV for the cell shown
- Formation energy (no corrections): -1958 meV/atom
- M_tot: 0.333 μB/atom
- Density: 2.8 g/cm³

Unit cell a=7.172 b=8.946 c=7.215 alpha=90.00 beta=92.36 gamma=90.00
Element x y z (fractional)
Rb (0.000, 0.249, 0.000)
Rb (0.000, 0.751, 0.000)
Sr (0.500, 0.000, 0.500)
Pu (0.500, 0.500, 0.500)
Cl (0.249, 0.000, 0.195)
Cl (0.289, 0.500, 0.203)
Cl (0.300, 0.282, 0.637)
Cl (0.300, 0.718, 0.637)
Cl (0.700, 0.282, 0.363)
Cl (0.700, 0.718, 0.363)
Cl (0.711, 0.500, 0.797)
Cl (0.751, 0.000, 0.805)